Material: AlCd2BiH
Method: DFT, PBE
State: relaxed

```
5
Lattice="4.6024 0.0000 0.0000 0.0000 4.6024 0.0000 0.0000 0.0000 4.8726" Properties=species:S:1:pos:R:3 pbc="T T T"
Al 0.0000 0.0000 0.0000
Cd 0.0000 2.3012 2.4363
Cd 2.3012 0.0000 2.4363
Bi 2.3012 2.3012 0.0000
H 2.3012 2.3012 2.4363
```

Properties
M_tot, μB/f.u.: 0.0
DOS(E_F), states/eV/f.u.: 1.63
VASP energy, eV/atom: -2.163